# 1
A plane-wave DFT calculation with meta-GGA SCAN was carried out for a crystal of Ba2AlC relaxed with PBEsol.

- Space-group type: Fm-3m (225)
- Calculated total energy: -93.1 eV/cell
- V: 27.6 Å³ per atom
- Density of states at the Fermi level: 3.25 states/eV/f.u.
- Energy relative to the elements: 0.97 eV per atom
- M_tot: 0.00 μB per formula unit

extended XYZ file:
```
4
Lattice="0.000 3.810 3.810 3.810 0.000 3.810 3.810 3.810 0.000" Properties=species:S:1:pos:R:3 pbc="T T T"
Ba 1.905 1.905 1.905
Ba 5.715 5.715 5.715
Al 0.000 0.000 0.000
C 3.810 3.810 3.810
```

=====

# 2
A plane-wave DFT calculation with meta-GGA SCAN was carried out for a crystal of LaZrP relaxed with PBEsol.

- Space-group type: F-43m (216)
- Calculated total energy: -84.2 eV/cell
- V: 22.0 Å³ per atom
- Density of states at the Fermi level: 2.18 states/eV/f.u.
- Energy relative to the elements: -0.01 eV per atom
- Energy relative to the lowest polymorph listed for this composition: 197 kJ/mol of formula units
- M_tot: 0.00 μB per formula unit

extended XYZ file:
```
3
Lattice="0.000 3.208 3.208 3.208 0.000 3.208 3.208 3.208 0.000" Properties=species:S:1:pos:R:3 pbc="T T T"
La 0.000 0.000 0.000
Zr 4.812 4.812 4.812
P 3.208 3.208 3.208
```